A plane-wave DFT calculation with PBE was carried out for Rb4AgBr3 after structural relaxation.

Formation energy without anion corrections   -1.27 eV per atom
Symmetry   Cmmm, No. 65
Size of the total moment   0.00 μB per atom
Electronic total energy   -2.736 eV per atom

Cell lengths 8.710, 8.710, 4.999 Å; angles 90.00, 90.00, 109.20 degrees
Sites, in units of the cell vectors:
Rb: 0.241 0.241 0.500
Rb: 0.246 0.754 0.000
Rb: 0.754 0.246 0.000
Rb: 0.759 0.759 0.500
Ag: 0.500 0.500 0.000
Br: 0.000 0.000 0.000
Br: 0.000 0.500 0.500
Br: 0.500 0.000 0.500